First-principles (PBE) data for a relaxed structure of Tm6GaTe3P2, as listed in Alexandria via LeMat-Bulk.

The structure in POSCAR format:
```
Tm6GaTe3P2
1.0
-3.4858 1.1874 1.7280
-4.0529 -1.1387 -7.3931
1.1476 -8.6437 3.4668
Tm Ga Te P
6 1 3 2
Direct
0.3401 0.8932 0.6801
0.6760 0.5617 0.3520
0.6599 0.1068 0.3199
0.0082 0.2367 0.0165
0.9918 0.7633 0.9835
0.3240 0.4383 0.6480
0.5000 0.0000 0.0000
0.5000 0.5000 0.0000
0.8322 0.1687 0.6645
0.1678 0.8313 0.3355
0.8321 0.6632 0.6642
0.1679 0.3368 0.3358
```

Total DFT energy (no corrections) in eV per cell: -65.666
Energy relative to the elements, uncorrected in kJ per mole of atoms: -125.1
Total moment in μB/f.u.: 0.00
Space group: C2/m, No. 12

First-principles (PBE) data for a relaxed structure of TeBrO3F5, as listed in Alexandria via LeMat-Bulk.

The structure in POSCAR format:
```
TeBrO3F5
1.0
6.4289 0.0000 0.0000
0.0000 5.4796 -0.0006
0.0000 0.1046 20.2766
Te Br O F
4 4 12 20
Direct
0.7193 0.2466 0.0904
0.2193 0.7534 0.4096
0.7807 0.2466 0.5904
0.2807 0.7534 0.9096
0.1700 0.7537 0.7426
0.3300 0.7537 0.2426
0.8300 0.2463 0.2574
0.6700 0.2463 0.7574
0.1878 0.5959 0.1918
0.6890 0.3823 0.1771
0.7348 0.9581 0.7580
0.3122 0.5959 0.6918
0.8122 0.4041 0.8082
0.6878 0.4041 0.3082
0.2348 0.0419 0.7420
0.7652 0.9581 0.2580
0.1890 0.6177 0.3229
0.2652 0.0419 0.2420
0.8110 0.3823 0.6771
0.3110 0.6177 0.8229
0.7566 0.1145 0.5061
0.5241 0.1039 0.6134
0.0832 0.0442 0.3838
0.8562 0.5263 0.0597
0.6438 0.5263 0.5597
0.5832 0.9558 0.1162
0.9168 0.9558 0.6162
0.0241 0.8961 0.8866
0.7434 0.1145 0.0061
0.1438 0.4737 0.9403
0.4759 0.8961 0.3866
0.2434 0.8855 0.4939
0.5380 0.6169 0.9325
0.9759 0.1039 0.1134
0.4620 0.3831 0.0675
0.4168 0.0442 0.8838
0.3562 0.4737 0.4403
0.0380 0.3831 0.5675
0.9620 0.6169 0.4325
0.2566 0.8855 0.9939
```

Total DFT energy (no corrections) in eV per cell: -161.566
Energy relative to the elements, uncorrected in kJ per mole of atoms: -109.5
Total moment in μB/f.u.: 0.00
Space group: P2_1/c, No. 14

First-principles (PBE) data for a relaxed structure of CeCuSnIr, as listed in Alexandria via LeMat-Bulk.

The structure in POSCAR format:
```
CeCuSnIr
1.0
4.7922 0.0000 0.0000
2.3961 4.1502 0.0000
2.3961 1.3834 3.9128
Ir Sn Ce Cu
1 1 1 1
Direct
0.5000 0.5000 0.5000
0.2500 0.2500 0.2500
0.7500 0.7500 0.7500
0.0000 0.0000 0.0000
```

ΔH_f (0 K) in eV/atom: -0.386
Total DFT energy (no corrections) in eV per cell: -24.437
Total moment in μB/f.u.: 0.01
Space group: F-43m, No. 216

First-principles (PBE) data for a relaxed structure of SiRuCl2, as listed in Alexandria via LeMat-Bulk.

The structure in POSCAR format:
```
SiRuCl2
1.0
-0.0363 1.2088 6.2048
-1.2004 -3.7666 4.9329
3.2194 1.5040 -5.2283
Cl Ru Si
2 1 1
Direct
0.9877 0.9877 0.0000
0.7005 0.2005 0.5000
0.4836 0.4836 0.0000
0.3282 0.8282 0.5000
```

Polymorph energy (0 for the lowest one) in meV per atom: 515
Total DFT energy (no corrections) in eV per cell: -17.529
Energy relative to the elements, uncorrected in kJ per mole of atoms: 20.8
Total moment in μB/f.u.: 0.00
Space group: Imm2, No. 44

First-principles (PBE) data for a relaxed structure of Li4TlMo, as listed in Alexandria via LeMat-Bulk.

The structure in POSCAR format:
```
Li4TlMo
1.0
0.0000 3.6694 3.6694
3.6694 0.0000 3.6694
3.6694 3.6694 0.0000
Li Tl Mo
4 1 1
Direct
0.8713 0.3762 0.3762
0.3762 0.3762 0.8713
0.3762 0.8713 0.3762
0.3762 0.3762 0.3762
0.0000 0.0000 0.0000
0.7500 0.7500 0.7500
```

ΔH_f (0 K) in eV/atom: 0.355
Total DFT energy (no corrections) in eV per cell: -18.723
Total moment in μB/f.u.: 3.11
Space group: F-43m, No. 216

First-principles (PBE) data for a relaxed structure of TaNbTe2I, as listed in Alexandria via LeMat-Bulk.

The structure in POSCAR format:
```
TaNbTe2I
1.0
-1.9310 3.7762 -3.3611
-5.0553 -1.4298 1.2980
0.0178 3.6360 4.0749
I Nb Te Ta
1 1 2 1
Direct
0.0000 0.0000 0.5000
0.5000 0.5000 0.5000
0.0000 0.5000 0.0000
0.5000 0.0000 0.0000
0.0000 0.0000 0.0000
```

Polymorph energy (0 for the lowest one) in meV per atom: 117
Total DFT energy (no corrections) in eV per cell: -25.010
Energy relative to the elements, uncorrected in kJ per mole of atoms: 91.6
Total moment in μB/f.u.: 4.30
Space group: P4/mmm, No. 123

First-principles (PBE) data for a relaxed structure of Li2YFe, as listed in Alexandria via LeMat-Bulk.

The structure in POSCAR format:
```
Li2YFe
1.0
4.7483 0.0000 0.0000
2.3742 4.1122 0.0000
2.3742 1.3707 3.8770
Fe Li Y
1 2 1
Direct
0.5000 0.5000 0.5000
0.0000 0.0000 0.0000
0.2500 0.2500 0.2500
0.7500 0.7500 0.7500
```

Polymorph energy (0 for the lowest one) in meV per atom: 122
ΔH_f (0 K) in eV/atom: 0.359
Total DFT energy (no corrections) in eV per cell: -17.318
Total moment in μB/f.u.: 1.64
Space group: F-43m, No. 216

First-principles (PBE) data for a relaxed structure of Ta2ReS, as listed in Alexandria via LeMat-Bulk.

The structure in POSCAR format:
```
Ta2ReS
1.0
5.2052 0.0000 0.0000
0.0000 5.2052 0.0000
2.6026 2.6026 6.5800
Re S Ta
2 2 4
Direct
0.0000 0.0000 0.0000
0.7500 0.2500 0.5000
0.5000 0.5000 0.0000
0.2500 0.7500 0.5000
0.6027 0.1250 0.2500
0.1473 0.6250 0.2500
0.3750 0.3973 0.7500
0.8750 0.8527 0.7500
```

Total DFT energy (no corrections) in eV per cell: -74.794
Energy relative to the elements, uncorrected in kJ per mole of atoms: 69.6
Total moment in μB/f.u.: 0.00
Space group: I-42d, No. 122